VASP calculation (PBE) on an optimized crystal structure of BiSbO2F.

Geometry as extended XYZ:
```
5
Lattice="4.515 0.000 0.000 0.000 4.515 0.000 0.000 0.000 4.463" Properties=species:S:1:pos:R:3 pbc="T T T"
Bi 0.000 0.000 0.000
Sb 2.258 2.258 2.231
O 0.000 2.258 0.000
O 2.258 0.000 0.000
F 0.000 0.000 2.231
```

Values from the calculation:
As for the calculated total energy: -4.6251 eV per atom. As for the uncorrected formation energy: -64 kJ/mol of atoms.